3
Lattice="3.292 0.000 0.000 -1.646 2.851 0.000 0.000 0.000 6.742" Properties=species:S:1:pos:R:3 comment="CaInRu, optimized geometry, DFT GGA-PBEsol" total_energy_ev_per_atom=-4.823 space_group="No. 156" pbc="T T T"
Ca 0.000 0.000 0.000
In 0.000 1.901 3.986
Ru 1.646 0.950 2.077

4
Lattice="2.705 0.000 0.000 0.000 4.118 0.000 -0.848 0.000 5.205" Properties=species:S:1:pos:R:3 comment="BeAgW2, optimized geometry, DFT GGA-PBEsol" total_energy_ev_per_atom=-8.337 space_group="No. 6" pbc="T T T"
Be 0.000 0.000 0.000
Ag 1.863 2.059 3.889
W 0.513 0.000 2.448
W 1.370 2.059 1.115

5
Lattice="3.831 0.000 0.000 0.000 3.831 0.000 0.000 0.000 3.106" Properties=species:S:1:pos:R:3 comment="B2HOsW, optimized geometry, DFT GGA-PBEsol" total_energy_ev_per_atom=-7.870 space_group="No. 123" pbc="T T T"
B 0.000 1.916 0.000
B 1.916 0.000 0.000
H 0.000 0.000 0.000
Os 1.916 1.916 1.553
W 0.000 0.000 1.553

4
Lattice="1.635 0.944 8.135 -1.635 0.944 8.135 0.000 -1.888 8.135" Properties=species:S:1:pos:R:3 comment="Zr2ReCl, optimized geometry, DFT GGA-PBEsol" total_energy_ev_per_atom=-8.753 raw_formation_energy_ev_per_atom=-0.37 space_group="No. 166" e_above_lowest_polymorph_mev_per_atom=0.0 pbc="T T T"
Zr 0.000 0.000 5.975
Zr 0.000 0.000 18.430
Re 0.000 0.000 12.203
Cl 0.000 0.000 0.000

5
Lattice="3.981 0.000 0.000 0.000 3.981 0.000 0.000 0.000 3.981" Properties=species:S:1:pos:R:3 comment="NbSi3N, optimized geometry, DFT GGA-PBEsol" total_energy_ev_per_atom=-7.128 raw_formation_energy_ev_per_atom=0.19 space_group="No. 221" pbc="T T T"
Nb 0.000 0.000 0.000
Si 0.000 1.990 1.990
Si 1.990 0.000 1.990
Si 1.990 1.990 0.000
N 1.990 1.990 1.990

5
Lattice="4.948 0.000 0.000 0.000 4.948 0.000 0.000 0.000 4.948" Properties=species:S:1:pos:R:3 comment="Sc3AgOs, optimized geometry, DFT GGA-PBEsol" total_energy_ev_per_atom=-6.961 space_group="No. 221" pbc="T T T"
Sc 0.000 0.000 2.474
Sc 0.000 2.474 0.000
Sc 2.474 0.000 0.000
Ag 2.474 2.474 2.474
Os 0.000 0.000 0.000

5
Lattice="3.838 0.000 0.000 0.000 3.838 0.000 0.000 0.000 3.838" Properties=species:S:1:pos:R:3 comment="Cr3TeH, optimized geometry, DFT GGA-PBEsol" total_energy_ev_per_atom=-7.239 space_group="No. 221" pbc="T T T"
Cr 0.000 0.000 1.919
Cr 0.000 1.919 0.000
Cr 1.919 0.000 0.000
Te 1.919 1.919 1.919
H 0.000 0.000 0.000

10
Lattice="8.022 0.000 0.000 0.000 8.022 0.000 0.000 0.000 4.118" Properties=species:S:1:pos:R:3 comment="LiLa2Ag2, optimized geometry, DFT GGA-PBEsol" total_energy_ev_per_atom=-4.010 space_group="No. 127" pbc="T T T"
Li 0.000 0.000 0.000
Li 4.011 4.011 0.000
La 1.341 2.670 2.059
La 2.670 6.681 2.059
La 5.352 1.341 2.059
La 6.681 5.352 2.059
Ag 1.034 5.045 0.000
Ag 2.977 1.034 0.000
Ag 5.045 6.987 0.000
Ag 6.987 2.977 0.000